Record 1
# ScIn2CuPb (PBE-GGA, optimized geometry)
data_ScIn2CuPb
_space_group_name_H-M_alt 'P 4/m m m'
_space_group_IT_number 123
_space_group_name_Hall '-P 4 2'
_cell_length_a 5.608
_cell_length_b 5.608
_cell_length_c 5.586
_cell_angle_alpha 90.00
_cell_angle_beta 90.00
_cell_angle_gamma 90.00
loop_
_atom_site_label
_atom_site_fract_x
_atom_site_fract_y
_atom_site_fract_z
Sc1 0.000 0.000 0.000
In1 0.000 0.500 0.000
Cu1 0.500 0.500 0.500
Pb1 0.000 0.000 0.500
# Magnetization = 0.060 μB/atom
# ΔE_f = 0.792 eV/atom

Record 2
# InCuPb2Se4 (PBE-GGA, optimized geometry)
data_InCuPb2Se4
_space_group_name_H-M_alt 'P 1'
_space_group_IT_number 1
_space_group_name_Hall 'P 1'
_cell_length_a 6.610
_cell_length_b 6.611
_cell_length_c 6.782
_cell_angle_alpha 113.50
_cell_angle_beta 113.47
_cell_angle_gamma 99.48
loop_
_atom_site_label
_atom_site_fract_x
_atom_site_fract_y
_atom_site_fract_z
In1 0.000 0.000 0.000
Cu1 0.254 0.745 0.499
Pb1 0.459 0.540 0.000
Pb2 0.703 0.297 0.500
Se1 0.124 0.353 0.448
Se2 0.367 0.059 0.930
Se3 0.647 0.876 0.552
Se4 0.940 0.633 0.070
# Magnetization = 0.000 μB/atom
# ΔE_f (raw) = -408 meV per atom

Record 3
# InCu3PbSe4 (PBE-GGA, optimized geometry)
data_InCu3PbSe4
_space_group_name_H-M_alt 'P -4 3 m'
_space_group_IT_number 215
_space_group_name_Hall 'P -4 2 3'
_cell_length_a 6.197
_cell_length_b 6.197
_cell_length_c 6.197
_cell_angle_alpha 90.00
_cell_angle_beta 90.00
_cell_angle_gamma 90.00
loop_
_atom_site_label
_atom_site_fract_x
_atom_site_fract_y
_atom_site_fract_z
In1 0.000 0.000 0.000
Cu1 0.000 0.000 0.500
Pb1 0.500 0.500 0.500
Se1 0.238 0.238 0.238
# Magnetization = 0.000 μB/atom
# ΔE_f (raw) = -110 meV per atom

Record 4
# InCuPbSe2 (PBE-GGA, optimized geometry)
data_InCuPbSe2
_space_group_name_H-M_alt 'P 4/m m m'
_space_group_IT_number 123
_space_group_name_Hall '-P 4 2'
_cell_length_a 4.974
_cell_length_b 4.974
_cell_length_c 5.233
_cell_angle_alpha 90.00
_cell_angle_beta 90.00
_cell_angle_gamma 90.00
loop_
_atom_site_label
_atom_site_fract_x
_atom_site_fract_y
_atom_site_fract_z
In1 0.000 0.000 0.000
Cu1 0.500 0.500 0.500
Pb1 0.500 0.500 0.000
Se1 0.000 0.500 0.500
# Magnetization = 0.000 μB/atom
# ΔE_f (raw) = 124 meV per atom
# E above lowest polymorph = 0.0 kJ/mol of formula units

Ordered theoretical density results: 5.15; 6.56; 5.78; 6.97; unit Mg/m³.